1.
This record from the Alexandria database describes K2SrPtO after structural relaxation. The functional is PBE-GGA.

The calculation puts the density of states at the Fermi level at 2.217 states/eV per cell. The calculation puts the total magnetic moment at 0.0 μB/f.u. The calculation puts the formation energy (no corrections) at -0.19 eV per atom.

Unit cell a=5.279 b=4.653 c=5.279 alpha=90.00 beta=90.00 gamma=90.00
Atoms (fractional coordinates):
K  0.500  0.000  0.000
O  0.000  0.000  0.000
K  0.000  0.000  0.500
Sr  0.500  0.500  0.500
Pt  0.000  0.500  0.000

***

2.
This record from the Alexandria database describes KSrPtO3 after structural relaxation. The functional is PBE-GGA.

The calculation puts the density of states at the Fermi level at 9.964 states/eV per cell. The calculation puts the total magnetic moment at 0.7 μB/f.u. The calculation puts the formation energy (no corrections) at -1.54 eV per atom.

Unit cell a=3.935 b=7.144 c=7.778 alpha=105.20 beta=90.00 gamma=105.99
Site moments in Bohr magnetons follow the coordinates.
Atoms (fractional coordinates):
O  0.505  0.009  0.303  0.11
O  0.157  0.314  0.356  0.10
K  0.647  0.293  0.068  0.00
O  0.843  0.686  0.644  0.10
O  0.853  0.705  0.202  0.12
O  0.147  0.295  0.798  0.12
K  0.353  0.707  0.932  0.00
O  0.495  0.991  0.697  0.11
Sr  0.345  0.689  0.417  0.00
Pt  0.996  0.992  0.728  0.33
Pt  0.004  0.008  0.272  0.33
Sr  0.655  0.311  0.583  0.00

***

3.
This record from the Alexandria database describes KSrPtO2 after structural relaxation. The functional is PBE-GGA.

The calculation puts the density of states at the Fermi level at 10.746 states/eV per cell. The calculation puts the total magnetic moment at 1.0 μB/f.u. The calculation puts the formation energy (no corrections) at -1.36 eV per atom.

Unit cell a=5.307 b=7.614 c=7.601 alpha=120.05 beta=90.00 gamma=90.00
Site moments in Bohr magnetons follow the coordinates.
Atoms (fractional coordinates):
Pt  0.000  0.000  0.000  0.54
Sr  0.500  0.750  0.000  0.00
O  0.707  0.591  0.182  0.19
Pt  0.000  0.500  0.000  0.54
O  0.293  0.409  0.818  0.19
O  0.707  0.909  0.818  0.19
Sr  0.500  0.250  0.000  0.00
K  0.996  0.750  0.500  0.00
K  0.004  0.250  0.500  0.00
O  0.293  0.091  0.182  0.19

***

4.
This record from the Alexandria database describes KSrPtO2 after structural relaxation. The functional is PBE-GGA.

The calculation puts the density of states at the Fermi level at 1.669 states/eV per cell. The calculation puts the total magnetic moment at 3.0 μB/f.u. The calculation puts the formation energy (no corrections) at 0.45 eV per atom.

Unit cell a=4.582 b=6.480 c=4.582 alpha=90.00 beta=90.00 gamma=90.00
Site moments in Bohr magnetons follow the coordinates.
Atoms (fractional coordinates):
Sr  0.000  0.500  0.000  -0.01
O  0.000  0.000  0.500  1.08
Pt  0.500  0.500  0.500  0.52
K  0.000  0.000  0.000  0.05
O  0.500  0.000  0.000  0.84

***

5.
This record from the Alexandria database describes KSr2PtO4 after structural relaxation. The functional is PBE-GGA.

The calculation puts the density of states at the Fermi level at 6.647 states/eV per cell. The calculation puts the total magnetic moment at 1.0 μB/f.u. The calculation puts the formation energy (no corrections) at -1.47 eV per atom.

Unit cell a=6.860 b=6.860 c=6.860 alpha=67.58 beta=133.69 gamma=133.69
Site moments in Bohr magnetons follow the coordinates.
Atoms (fractional coordinates):
Sr  0.500  0.250  0.750  0.01
O  0.360  0.814  0.814  0.08
O  0.640  0.454  0.454  0.08
Sr  0.500  0.750  0.250  0.01
O  0.000  0.186  0.546  0.08
K  0.000  0.000  0.000  0.00
Pt  0.000  0.500  0.500  0.53
O  0.000  0.546  0.186  0.08

***

6.
This record from the Alexandria database describes K2TaPt3O12 after structural relaxation. The functional is PBE-GGA.

The calculation puts the density of states at the Fermi level at 14.867 states/eV per cell. The calculation puts the total magnetic moment at 1.6 μB/f.u. The calculation puts the formation energy (no corrections) at -1.03 eV per atom.

Unit cell a=7.349 b=7.349 c=7.349 alpha=58.63 beta=58.63 gamma=58.63
Site moments in Bohr magnetons follow the coordinates.
Atoms (fractional coordinates):
O  0.327  0.327  0.918  0.09
O  0.071  0.676  0.071  0.07
O  0.929  0.324  0.929  0.07
O  0.071  0.071  0.676  0.07
Pt  0.000  0.500  0.000  0.15
O  0.324  0.929  0.929  0.07
O  0.327  0.918  0.327  0.09
O  0.082  0.673  0.673  0.09
O  0.673  0.673  0.082  0.09
Pt  0.000  0.000  0.500  0.15
K  0.627  0.627  0.627  0.00
O  0.673  0.082  0.673  0.09
Pt  0.500  0.000  0.000  0.15
Ta  0.000  0.000  0.000  -0.02
O  0.918  0.327  0.327  0.09
O  0.676  0.071  0.071  0.07
K  0.373  0.373  0.373  0.00
O  0.929  0.929  0.324  0.07

***

7.
This record from the Alexandria database describes KTbPtO4 after structural relaxation. The functional is PBE-GGA.

The calculation puts the total magnetic moment at 0.0 μB/f.u. The calculation puts the formation energy (no corrections) at -1.76 eV per atom.

Unit cell a=6.611 b=6.754 c=7.167 alpha=122.04 beta=90.00 gamma=119.30
Atoms (fractional coordinates):
O  0.259  0.945  0.722
K  0.867  0.734  0.117
O  0.315  0.055  0.278
O  0.253  0.507  0.683
O  0.685  0.945  0.722
Pt  0.500  0.500  0.500
Tb  0.500  0.000  0.500
O  0.747  0.493  0.676
O  0.741  0.055  0.278
O  0.253  0.507  0.324
K  0.133  0.266  0.883
O  0.747  0.493  0.317
Pt  0.000  0.500  0.500
Tb  0.500  0.000  0.000

***

8.
This record from the Alexandria database describes K4Tb3PtO8 after structural relaxation. The functional is PBE-GGA.

The calculation puts the total magnetic moment at 1.0 μB/f.u. The calculation puts the formation energy (no corrections) at -2.21 eV per atom.

Unit cell a=6.791 b=7.350 c=6.962 alpha=117.15 beta=119.19 gamma=90.00
Site moments in Bohr magnetons follow the coordinates.
Atoms (fractional coordinates):
O  0.723  0.686  0.447  0.00
O  0.258  0.715  0.517  0.17
O  0.790  0.322  0.044  0.01
K  0.500  0.000  0.000  0.01
K  0.500  0.000  0.500  0.00
O  0.254  0.322  0.044  0.01
Tb  0.500  0.500  0.500  -0.01
Tb  0.000  0.500  0.500  -0.01
O  0.277  0.314  0.553  0.00
O  0.210  0.678  0.956  0.01
Pt  0.000  0.500  0.000  0.53
K  0.000  0.000  0.500  0.00
Tb  0.500  0.500  0.000  0.00
K  0.000  0.000  0.000  0.00
O  0.746  0.678  0.956  0.01
O  0.742  0.285  0.483  0.17

***

9.
This record from the Alexandria database describes K3Tb2PtO6 after structural relaxation. The functional is PBE-GGA.

The calculation puts the total magnetic moment at 1.0 μB/f.u. The calculation puts the formation energy (no corrections) at -2.02 eV per atom.

Unit cell a=5.946 b=5.946 c=6.508 alpha=98.22 beta=98.22 gamma=120.59
Site moments in Bohr magnetons follow the coordinates.
Atoms (fractional coordinates):
K  0.159  0.841  0.500  0.00
O  0.935  0.596  0.802  0.09
O  0.254  0.254  0.825  -0.01
O  0.065  0.404  0.198  0.09
O  0.404  0.065  0.198  0.09
Pt  0.000  0.000  0.000  0.58
O  0.746  0.746  0.175  -0.01
O  0.596  0.935  0.802  0.09
K  0.500  0.500  0.500  0.00
Tb  0.330  0.670  0.000  0.00
K  0.841  0.159  0.500  0.00
Tb  0.670  0.330  0.000  0.00

***

10.
This record from the Alexandria database describes K2TePtO6 after structural relaxation. The functional is PBE-GGA.

The calculation puts the density of states at the Fermi level at 9.114 states/eV per cell. The calculation puts the total magnetic moment at 0.0 μB/f.u. The calculation puts the formation energy (no corrections) at -1.01 eV per atom.

Unit cell a=5.866 b=5.866 c=10.402 alpha=73.62 beta=73.62 gamma=60.00
Atoms (fractional coordinates):
K  0.716  0.716  0.852
O  0.398  0.837  0.367
Pt  0.407  0.407  0.779
O  0.602  0.163  0.633
O  0.806  0.265  0.123
O  0.163  0.602  0.633
O  0.265  0.806  0.123
O  0.735  0.194  0.877
Te  0.000  0.000  0.000
K  0.284  0.284  0.148
K  0.879  0.879  0.363
K  0.121  0.121  0.637
O  0.194  0.194  0.877
O  0.806  0.806  0.123
Te  0.500  0.500  0.500
O  0.398  0.398  0.367
O  0.602  0.602  0.633
O  0.837  0.398  0.367
Pt  0.593  0.593  0.221
O  0.194  0.735  0.877

***

11.
This record from the Alexandria database describes K5TePtO2 after structural relaxation. The functional is PBE-GGA.

The calculation puts the density of states at the Fermi level at 6.201 states/eV per cell. The calculation puts the total magnetic moment at 1.0 μB/f.u. The calculation puts the formation energy (no corrections) at -1.04 eV per atom.

Unit cell a=5.468 b=5.468 c=9.205 alpha=90.00 beta=90.00 gamma=90.00
Site moments in Bohr magnetons follow the coordinates.
Atoms (fractional coordinates):
K  0.500  0.000  0.231  0.00
O  0.000  0.000  0.787  0.20
K  0.000  0.500  0.769  0.00
K  0.000  0.500  0.231  0.00
K  0.000  0.000  0.500  0.00
Pt  0.000  0.000  0.000  0.52
K  0.500  0.000  0.769  0.00
O  0.000  0.000  0.213  0.20
Te  0.500  0.500  0.500  0.00

***

12.
This record from the Alexandria database describes K2ThPt3O12 after structural relaxation. The functional is PBE-GGA.

The calculation puts the density of states at the Fermi level at 6.084 states/eV per cell. The calculation puts the total magnetic moment at 5.4 μB/f.u. The calculation puts the formation energy (no corrections) at -1.02 eV per atom.

Unit cell a=6.857 b=6.857 c=6.857 alpha=65.04 beta=65.04 gamma=65.04
Site moments in Bohr magnetons follow the coordinates.
Atoms (fractional coordinates):
O  0.257  0.876  0.257  0.02
Th  0.000  0.000  0.000  0.03
Pt  0.000  0.000  0.500  0.47
O  0.141  0.570  0.141  0.51
O  0.570  0.141  0.141  0.51
Pt  0.500  0.000  0.000  0.47
O  0.859  0.430  0.859  0.51
O  0.141  0.141  0.570  0.51
O  0.430  0.859  0.859  0.51
Pt  0.000  0.500  0.000  0.47
O  0.743  0.124  0.743  0.02
O  0.876  0.257  0.257  0.02
K  0.601  0.601  0.601  0.00
K  0.399  0.399  0.399  0.00
O  0.257  0.257  0.876  0.02
O  0.859  0.859  0.430  0.51
O  0.124  0.743  0.743  0.02
O  0.743  0.743  0.124  0.02